Computed, not measured: crystalline LiAl2Au4 at its relaxed geometry at the PBE-GGA level of DFT.

```
data_LiAl2Au4
_chemical_formula_sum 'Li8 Al16 Au32'
_cell_length_a 7.6993
_cell_length_b 10.0917
_cell_length_c 13.1291
_cell_angle_alpha 90.00
_cell_angle_beta 90.00
_cell_angle_gamma 90.00
_symmetry_space_group_name_H-M 'F 2 2 2'
_symmetry_Int_Tables_number 22
_symmetry_space_group_name_Hall 'F 2 2'
loop_
_atom_site_label
_atom_site_type_symbol
_atom_site_fract_x
_atom_site_fract_y
_atom_site_fract_z
Li1 Li 0.0000 0.0000 0.0000
Li2 Li 0.2500 0.2500 0.2500
Al1 Al 0.1251 0.1246 0.6252
Au1 Au 0.0466 0.1341 0.8236
Au2 Au 0.2033 0.1163 0.4266
```

- Fermi-level density of states (states/eV/f.u.) = 1.47
- electronic total energy (eV per atom) = -3.5410
- calculated formation energy (eV/atom) = -0.326
- energy above the lowest structure with this stoichiometry (meV/atom) = 94
- spin magnetization (μB/f.u.) = 0.0